[1]
First-principles (PBE-GGA) data for crystalline TePH at its relaxed geometry, as listed in Alexandria. Values from VASP.

Structure (Quantum ESPRESSO input):
```
&SYSTEM
  ibrav = 0, nat = 3, ntyp = 3
/
ATOMIC_SPECIES
P 30.97 P.upf
Te 127.60 Te.upf
H 1.01 H.upf
CELL_PARAMETERS angstrom
-1.279 -3.148 -1.784
-0.446 -1.856 3.594
-3.673 3.138 1.151
ATOMIC_POSITIONS crystal
P 0.995 0.443 0.813
Te 0.450 0.031 0.721
H 0.148 0.423 0.124
```

Output
SG   No. 1
Raw total energy   -3.88 eV/atom

---

[2]
First-principles (PBE-GGA) data for crystalline K2HgW at its relaxed geometry, as listed in Alexandria. Values from VASP.

Structure (Quantum ESPRESSO input):
```
&SYSTEM
  ibrav = 0, nat = 4, ntyp = 3
/
ATOMIC_SPECIES
K 39.10 K.upf
W 183.84 W.upf
Hg 200.59 Hg.upf
CELL_PARAMETERS angstrom
3.788 0.000 0.000
0.000 3.788 0.000
0.000 0.000 10.184
ATOMIC_POSITIONS crystal
K 0.000 0.000 0.921
K 0.500 0.500 0.326
W 0.000 0.000 0.588
Hg 0.500 0.500 0.665
```

Output
SG   No. 99
Formation energy   401 kJ/mol of formula units

---

[3]
First-principles (PBE-GGA) data for crystalline Pm2ZrNpN4 at its relaxed geometry, as listed in Alexandria. Values from VASP.

Structure (Quantum ESPRESSO input):
```
&SYSTEM
  ibrav = 0, nat = 8, ntyp = 4
/
ATOMIC_SPECIES
N 14.01 N.upf
Np 237.00 Np.upf
Zr 91.22 Zr.upf
Pm 145.00 Pm.upf
CELL_PARAMETERS angstrom
-2.799 2.013 -0.156
-3.463 -4.740 0.950
1.458 2.439 5.332
ATOMIC_POSITIONS crystal
N 0.500 0.241 0.216
N 0.000 0.257 0.782
N 0.000 0.743 0.218
N 0.500 0.759 0.784
Np 0.500 0.500 0.000
Zr 0.000 0.000 0.000
Pm 0.500 0.000 0.500
Pm 0.000 0.500 0.500
```

Output
SG   No. 10
Uncorrected formation energy   -11.61 eV per formula unit

---

[4]
First-principles (PBE-GGA) data for crystalline BaLiTl2O4 at its relaxed geometry, as listed in Alexandria. Values from VASP.

Structure (Quantum ESPRESSO input):
```
&SYSTEM
  ibrav = 0, nat = 16, ntyp = 4
/
ATOMIC_SPECIES
O 16.00 O.upf
Tl 204.38 Tl.upf
Li 6.94 Li.upf
Ba 137.33 Ba.upf
CELL_PARAMETERS angstrom
3.637 0.000 0.000
-1.818 5.887 0.000
0.000 0.000 11.603
ATOMIC_POSITIONS crystal
O 0.270 0.540 0.118
O 0.730 0.460 0.618
O 0.270 0.540 0.382
O 0.582 0.164 0.250
O 0.000 0.000 0.000
O 0.418 0.836 0.750
O 0.000 0.000 0.500
O 0.730 0.460 0.882
Tl 0.631 0.263 0.052
Tl 0.631 0.263 0.448
Tl 0.369 0.737 0.552
Tl 0.369 0.737 0.948
Li 0.166 0.333 0.250
Li 0.834 0.667 0.750
Ba 0.104 0.208 0.750
Ba 0.896 0.792 0.250
```

Output
SG   No. 63
Uncorrected formation energy   -10.84 eV per formula unit

---

[5]
First-principles (PBE-GGA) data for crystalline Tb3HgIr at its relaxed geometry, as listed in Alexandria. Values from VASP.

Structure (Quantum ESPRESSO input):
```
&SYSTEM
  ibrav = 0, nat = 20, ntyp = 3
/
ATOMIC_SPECIES
Ir 192.22 Ir.upf
Tb 158.93 Tb.upf
Hg 200.59 Hg.upf
CELL_PARAMETERS angstrom
-2.223 -2.323 -3.542
1.084 -6.328 3.469
-13.138 1.668 7.150
ATOMIC_POSITIONS crystal
Ir 0.250 0.270 0.956
Ir 0.250 0.770 0.544
Ir 0.750 0.230 0.456
Ir 0.750 0.730 0.044
Tb 0.250 0.368 0.546
Tb 0.750 0.813 0.222
Tb 0.250 0.514 0.100
Tb 0.250 0.687 0.722
Tb 0.750 0.486 0.900
Tb 0.250 0.014 0.400
Tb 0.750 0.313 0.278
Tb 0.750 0.132 0.046
Tb 0.250 0.868 0.954
Tb 0.750 0.632 0.454
Tb 0.750 0.986 0.600
Tb 0.250 0.187 0.778
Hg 0.250 0.097 0.185
Hg 0.750 0.903 0.815
Hg 0.750 0.403 0.685
Hg 0.250 0.597 0.315
```

Output
SG   No. 62
Formation energy   -295 kJ/mol of formula units

---

[6]
First-principles (PBE-GGA) data for crystalline NdYGa2Cu2 at its relaxed geometry, as listed in Alexandria. Values from VASP.

Structure (Quantum ESPRESSO input):
```
&SYSTEM
  ibrav = 0, nat = 6, ntyp = 4
/
ATOMIC_SPECIES
Cu 63.55 Cu.upf
Ga 69.72 Ga.upf
Nd 144.24 Nd.upf
Y 88.91 Y.upf
CELL_PARAMETERS angstrom
4.370 0.000 0.000
-2.185 3.784 0.000
0.000 0.000 7.417
ATOMIC_POSITIONS crystal
Cu 0.333 0.667 0.726
Cu 0.667 0.333 0.274
Ga 0.667 0.333 0.735
Ga 0.333 0.667 0.265
Nd 0.000 0.000 0.000
Y 0.000 0.000 0.500
```

Output
SG   No. 164
Formation energy   -279 kJ/mol of formula units

---

[7]
First-principles (PBE-GGA) data for crystalline La2IrPdF at its relaxed geometry, as listed in Alexandria. Values from VASP.

Structure (Quantum ESPRESSO input):
```
&SYSTEM
  ibrav = 0, nat = 5, ntyp = 4
/
ATOMIC_SPECIES
La 138.91 La.upf
Pd 106.42 Pd.upf
Ir 192.22 Ir.upf
F 19.00 F.upf
CELL_PARAMETERS angstrom
5.476 0.000 0.000
0.000 4.110 0.000
0.000 0.000 5.476
ATOMIC_POSITIONS crystal
La 0.000 0.000 0.500
La 0.500 0.000 0.000
Pd 0.000 0.000 0.000
Ir 0.500 0.500 0.500
F 0.000 0.500 0.000
```

Output
SG   No. 123
Uncorrected formation energy   -2.48 eV per formula unit

---

[8]
First-principles (PBE-GGA) data for crystalline PmPr2Mg at its relaxed geometry, as listed in Alexandria. Values from VASP.

Structure (Quantum ESPRESSO input):
```
&SYSTEM
  ibrav = 0, nat = 4, ntyp = 3
/
ATOMIC_SPECIES
Pr 140.91 Pr.upf
Pm 145.00 Pm.upf
Mg 24.30 Mg.upf
CELL_PARAMETERS angstrom
5.017 0.000 0.000
0.000 5.076 0.000
0.000 0.000 5.076
ATOMIC_POSITIONS crystal
Pr 0.000 0.500 0.000
Pr 0.000 0.000 0.500
Pm 0.500 0.500 0.500
Mg 0.500 0.000 0.000
```

Output
SG   No. 123
Formation energy   -2 kJ/mol of formula units

---

[9]
First-principles (PBE-GGA) data for crystalline NaPmP2Pd4 at its relaxed geometry, as listed in Alexandria. Values from VASP.

Structure (Quantum ESPRESSO input):
```
&SYSTEM
  ibrav = 0, nat = 8, ntyp = 4
/
ATOMIC_SPECIES
P 30.97 P.upf
Na 22.99 Na.upf
Pd 106.42 Pd.upf
Pm 145.00 Pm.upf
CELL_PARAMETERS angstrom
4.067 0.000 0.000
0.000 4.067 0.000
0.000 0.000 9.906
ATOMIC_POSITIONS crystal
P 0.500 0.500 0.342
P 0.500 0.500 0.658
Na 0.000 0.000 0.500
Pd 0.500 0.000 0.777
Pd 0.000 0.500 0.223
Pd 0.000 0.500 0.777
Pd 0.500 0.000 0.223
Pm 0.000 0.000 0.000
```

Output
SG   No. 123
Formation energy   -405 kJ/mol of formula units

---

[10]
First-principles (PBE-GGA) data for crystalline Y3ErPu2Se6 at its relaxed geometry, as listed in Alexandria. Values from VASP.

Structure (Quantum ESPRESSO input):
```
&SYSTEM
  ibrav = 0, nat = 12, ntyp = 4
/
ATOMIC_SPECIES
Y 88.91 Y.upf
Pu 244.00 Pu.upf
Er 167.26 Er.upf
Se 78.96 Se.upf
CELL_PARAMETERS angstrom
-1.060 -3.203 2.298
7.419 -3.327 -1.216
1.639 6.523 6.224
ATOMIC_POSITIONS crystal
Y 0.500 0.500 0.000
Y 0.168 0.834 0.336
Y 0.832 0.166 0.664
Pu 0.834 0.667 0.668
Pu 0.166 0.333 0.332
Er 0.500 0.000 0.000
Se 0.666 0.585 0.332
Se 0.002 0.754 0.004
Se 0.665 0.079 0.330
Se 0.335 0.921 0.670
Se 0.998 0.246 0.996
Se 0.334 0.415 0.668
```

Output
SG   No. 12
Uncorrected formation energy   -20.43 eV per formula unit

---

Computed values of spin magnetization (unit: μB/f.u.) for the preceding records, in sequence: 0.00, 2.81, 2.72, 0.00, 0.00, 0.00, 0.00, 0.01, 0.00, 11.77.